[1]
Density functional theory data (PBE) for an optimized crystal structure of ScTeI2Cl.

The structure belongs to space group P4/mmm (No. 123); the cell edges are 5.434, 5.434 and 5.908 Å and the angles 90.00°, 90.00° and 90.00°. Symmetry generates all atoms from Sc at (0.000, 0.000, 0.000), Te at (0.500, 0.500, 0.000), I at (0.000, 0.500, 0.500) and Cl at (0.500, 0.500, 0.500).

The calculation puts the uncorrected energy at -2.51 eV/atom.


[2]
Density functional theory data (PBE) for an optimized crystal structure of Pm2YSc3Se6.

The structure belongs to space group C2/m (No. 12); the cell edges are 17.568, 3.988 and 8.107 Å and the angles 90.00°, 104.15° and 90.00°. Symmetry generates all atoms from Pm at (0.168, 0.000, 0.336), Y at (0.000, 0.500, 0.000), Sc at (0.000, 0.500, 0.500), Sc at (0.169, 0.000, 0.833), Se at (0.006, 0.000, 0.743), Se at (0.160, 0.500, 0.598) and Se at (0.169, 0.500, 0.067).

The calculation puts the uncorrected energy at -6.35 eV/atom.


[3]
Density functional theory data (PBE) for an optimized crystal structure of SrTc2As.

The structure belongs to space group P4mm (No. 99); the cell edges are 3.218, 3.218 and 7.554 Å and the angles 90.00°, 90.00° and 90.00°. Symmetry generates all atoms from Sr at (0.000, 0.000, 0.000), Tc at (0.000, 0.000, 0.493), Tc at (0.500, 0.500, 0.319) and As at (0.500, 0.500, 0.684).

The calculation puts the uncorrected energy at -6.66 eV/atom. The value obtained for the formation energy is 0.4 eV per formula unit.


[4]
Density functional theory data (PBE) for an optimized crystal structure of HfTc2HAu.

The structure belongs to space group P4/mmm (No. 123); the cell edges are 4.024, 4.024 and 4.191 Å and the angles 90.00°, 90.00° and 90.00°. Symmetry generates all atoms from Hf at (0.000, 0.000, 0.000), Tc at (0.000, 0.500, 0.500), H at (0.000, 0.000, 0.500) and Au at (0.500, 0.500, 0.000).

The calculation puts the uncorrected energy at -7.63 eV/atom.


[5]
Density functional theory data (PBE) for an optimized crystal structure of Zr2Si2Ag.

The structure belongs to space group P4/mbm (No. 127); the cell edges are 8.060, 8.060 and 2.996 Å and the angles 90.00°, 90.00° and 90.00°. Symmetry generates all atoms from Zr at (0.136, 0.364, 0.000), Si at (0.163, 0.663, 0.500) and Ag at (0.000, 0.000, 0.000).

The calculation puts the uncorrected energy at -6.35 eV/atom.


[6]
Density functional theory data (PBE) for an optimized crystal structure of BaAl4Se7.

The structure belongs to space group Pc (No. 7); the cell edges are 7.735, 6.633 and 15.006 Å and the angles 90.00°, 120.86° and 90.00°. Symmetry generates all atoms from Ba at (0.000, 0.130, 0.000), Al at (0.438, 0.472, 0.958), Al at (0.448, 0.352, 0.698), Al at (0.670, 0.121, 0.175), Al at (0.928, 0.360, 0.681), Se at (0.228, 0.368, 0.514), Se at (0.260, 0.471, 0.266), Se at (0.434, 0.121, 0.993), Se at (0.539, 0.026, 0.774), Se at (0.763, 0.461, 0.259), Se at (0.766, 0.419, 0.499) and Se at (0.994, 0.012, 0.723).

The calculation puts the uncorrected energy at -4.54 eV/atom.


[7]
Density functional theory data (PBE) for an optimized crystal structure of MoP2OsCl.

The structure belongs to space group P4/mmm (No. 123); the cell edges are 4.708, 4.708 and 4.637 Å and the angles 90.00°, 90.00° and 90.00°. Symmetry generates all atoms from Mo at (0.000, 0.000, 0.000), P at (0.000, 0.500, 0.000), Os at (0.500, 0.500, 0.500) and Cl at (0.000, 0.000, 0.500).

The calculation puts the uncorrected energy at -5.59 eV/atom.


[8]
Density functional theory data (PBE) for an optimized crystal structure of PtCS2.

The structure belongs to space group I-42d (No. 122); the cell edges are 5.101, 5.101 and 9.336 Å and the angles 90.00°, 90.00° and 90.00°. Symmetry generates all atoms from Pt at (0.000, 0.000, 0.000), C at (0.000, 0.000, 0.500) and S at (0.186, 0.250, 0.625).

The calculation puts the uncorrected energy at -5.02 eV/atom.


[9]
Density functional theory data (PBE) for an optimized crystal structure of Pr5Zn4Ir.

The structure belongs to space group P4/mmm (No. 123); the cell edges are 3.688, 3.688 and 18.501 Å and the angles 90.00°, 90.00° and 90.00°. Symmetry generates all atoms from Pr at (0.000, 0.000, 0.000), Pr at (0.000, 0.000, 0.202), Pr at (0.000, 0.000, 0.409), Zn at (0.500, 0.500, 0.101), Zn at (0.500, 0.500, 0.301) and Ir at (0.500, 0.500, 0.500).

The calculation puts the uncorrected energy at -4.14 eV/atom. The value obtained for the formation energy is -3.5 eV per formula unit.


[10]
Density functional theory data (PBE) for an optimized crystal structure of CaCd2HgBi.

The structure belongs to space group Cmcm (No. 63); the cell edges are 4.710, 11.533 and 9.994 Å and the angles 90.00°, 90.00° and 90.00°. Symmetry generates all atoms from Ca at (0.000, 0.051, 0.250), Cd at (0.000, 0.226, 0.586), Hg at (0.000, 0.326, 0.250) and Bi at (0.000, 0.500, 0.000).

The calculation puts the uncorrected energy at -1.88 eV/atom. The value obtained for the formation energy is -1.4 eV per formula unit.


[11]
Density functional theory data (PBE) for an optimized crystal structure of Ba2SmGa2S6.

The structure belongs to space group C2/m (No. 12); the cell edges are 11.594, 7.298 and 7.997 Å and the angles 90.00°, 113.25° and 90.00°. Symmetry generates all atoms from Ba at (0.200, 0.000, 0.168), Sm at (0.000, 0.000, 0.500), Ga at (0.041, 0.500, 0.344), S at (0.056, 0.241, 0.799) and S at (0.248, 0.500, 0.419).

The calculation puts the uncorrected energy at -4.96 eV/atom.


[12]
Density functional theory data (PBE) for an optimized crystal structure of ErTe3PbAu.

The structure belongs to space group P2_1/m (No. 11); the cell edges are 8.320, 4.343 and 10.816 Å and the angles 90.00°, 107.52° and 90.00°. Symmetry generates all atoms from Er at (0.205, 0.250, 0.180), Te at (0.078, 0.250, 0.878), Te at (0.203, 0.250, 0.465), Te at (0.457, 0.750, 0.170), Pb at (0.212, 0.750, 0.708) and Au at (0.378, 0.750, 0.398).

The calculation puts the uncorrected energy at -4.19 eV/atom.


[13]
Density functional theory data (PBE) for an optimized crystal structure of AcSm4Dy10.

The structure belongs to space group I4/m (No. 87); the cell edges are 12.828, 12.828 and 6.652 Å and the angles 90.00°, 90.00° and 90.00°. Symmetry generates all atoms from Ac at (0.000, 0.000, 0.000), Sm at (0.067, 0.178, 0.500), Dy at (0.000, 0.500, 0.250) and Dy at (0.130, 0.706, 0.250).

The calculation puts the uncorrected energy at -4.08 eV/atom. The value obtained for the formation energy is 7.9 eV per formula unit.


[14]
Density functional theory data (PBE) for an optimized crystal structure of CaTc4Br.

The structure belongs to space group F-43m (No. 216); the cell edges are 7.554, 7.554 and 7.554 Å and the angles 90.00°, 90.00° and 90.00°. Symmetry generates all atoms from Ca at (0.000, 0.000, 0.000), Tc at (0.124, 0.124, 0.624) and Br at (0.250, 0.250, 0.250).

The calculation puts the uncorrected energy at -6.82 eV/atom.


[15]
Density functional theory data (PBE) for an optimized crystal structure of TbPrLuPu.

The structure belongs to space group F-43m (No. 216); the cell edges are 7.960, 7.960 and 7.960 Å and the angles 90.00°, 90.00° and 90.00°. Symmetry generates all atoms from Tb at (0.000, 0.000, 0.000), Pr at (0.250, 0.250, 0.250), Lu at (0.000, 0.000, 0.500) and Pu at (0.250, 0.250, 0.750).

The calculation puts the uncorrected energy at -6.86 eV/atom. The value obtained for the formation energy is 0.8 eV per formula unit.


[16]
Density functional theory data (PBE) for an optimized crystal structure of BaLa2Rh.

The structure belongs to space group I-42d (No. 122); the cell edges are 9.019, 9.019 and 7.105 Å and the angles 90.00°, 90.00° and 90.00°. Symmetry generates all atoms from Ba at (0.000, 0.000, 0.000), La at (0.157, 0.250, 0.625) and Rh at (0.000, 0.000, 0.500).

The calculation puts the uncorrected energy at -4.95 eV/atom. The value obtained for the formation energy is -0.7 eV per formula unit.


[17]
Density functional theory data (PBE) for an optimized crystal structure of Zr2TiB2Ru5.

The structure belongs to space group P4/mbm (No. 127); the cell edges are 9.441, 9.441 and 3.096 Å and the angles 90.00°, 90.00° and 90.00°. Symmetry generates all atoms from Zr at (0.176, 0.324, 0.000), Ti at (0.000, 0.000, 0.000), B at (0.123, 0.623, 0.000), Ru at (0.000, 0.500, 0.500) and Ru at (0.071, 0.784, 0.500).

The calculation puts the uncorrected energy at -9.14 eV/atom. The value obtained for the formation energy is -6.6 eV per formula unit.


[18]
Density functional theory data (PBE) for an optimized crystal structure of La2Tb3Er.

The structure belongs to space group Pnnm (No. 58); the cell edges are 7.122, 9.868 and 5.709 Å and the angles 90.00°, 90.00° and 90.00°. Symmetry generates all atoms from La at (0.249, 0.168, 0.000), Tb at (0.000, 0.500, 0.000), Tb at (0.250, 0.333, 0.500) and Er at (0.000, 0.000, 0.500).

The calculation puts the uncorrected energy at -4.64 eV/atom. The value obtained for the formation energy is 0.4 eV per formula unit.


[19]
Density functional theory data (PBE) for an optimized crystal structure of CrTeBr2.

The structure belongs to space group P2/m (No. 10); the cell edges are 3.446, 3.372 and 11.606 Å and the angles 90.00°, 94.81° and 90.00°. Symmetry generates all atoms from Cr at (0.000, 0.000, 0.000), Te at (0.500, 0.000, 0.500) and Br at (0.172, 0.500, 0.856).

The calculation puts the uncorrected energy at -4.23 eV/atom.


[20]
Density functional theory data (PBE) for an optimized crystal structure of NaTb2Ho3Te6.

The structure belongs to space group C2/m (No. 12); the cell edges are 19.107, 4.349 and 8.796 Å and the angles 90.00°, 103.57° and 90.00°. Symmetry generates all atoms from Na at (0.000, 0.000, 0.000), Tb at (0.171, 0.500, 0.344), Ho at (0.000, 0.000, 0.500), Ho at (0.165, 0.500, 0.826), Te at (0.002, 0.500, 0.253), Te at (0.164, 0.000, 0.586) and Te at (0.169, 0.000, 0.082).

The calculation puts the uncorrected energy at -4.89 eV/atom.


[21]
Density functional theory data (PBE) for an optimized crystal structure of SmHo3Er.

The structure belongs to space group P2_1/m (No. 11); the cell edges are 3.595, 11.525 and 8.485 Å and the angles 90.00°, 102.17° and 90.00°. Symmetry generates all atoms from Sm at (0.002, 0.250, 0.496), Ho at (0.156, 0.000, 0.812), Ho at (0.327, 0.250, 0.153) and Er at (0.330, 0.750, 0.164).

The calculation puts the uncorrected energy at -4.30 eV/atom. The value obtained for the formation energy is 1.5 eV per formula unit.


[22]
Density functional theory data (PBE) for an optimized crystal structure of MgZnN2F.

The structure belongs to space group P4/mmm (No. 123); the cell edges are 3.786, 3.786 and 4.204 Å and the angles 90.00°, 90.00° and 90.00°. Symmetry generates all atoms from Mg at (0.000, 0.000, 0.000), Zn at (0.500, 0.500, 0.500), N at (0.000, 0.500, 0.500) and F at (0.500, 0.500, 0.000).

The calculation puts the uncorrected energy at -4.00 eV/atom.


[23]
Density functional theory data (PBE) for an optimized crystal structure of Nb3CrP.

The structure belongs to space group Pm-3m (No. 221); the cell edges are 4.570, 4.570 and 4.570 Å and the angles 90.00°, 90.00° and 90.00°. Symmetry generates all atoms from Nb at (0.000, 0.000, 0.500), Cr at (0.500, 0.500, 0.500) and P at (0.000, 0.000, 0.000).

The calculation puts the uncorrected energy at -8.43 eV/atom. The value obtained for the formation energy is 3.1 eV per formula unit.